(1)
DFT (PBE-GGA) results for crystalline LaNdNiPd at its relaxed geometry.

a b c (Å): 7.199 7.199 7.199
angles (deg): 90.00 90.00 90.00
Space group F-43m (No. 216)
Unique sites:
La  0.000  0.000  0.000 x4
Nd  0.000  0.000  0.500 x4
Ni  0.250  0.250  0.250 x4
Pd  0.250  0.250  0.750 x4

## Properties
energy of formation = -0.467 eV per atom

(2)
DFT (PBE-GGA) results for crystalline RbNaYF5 at its relaxed geometry.

a b c (Å): 7.692 10.788 8.497
angles (deg): 90.00 112.12 90.00
Space group C2/c (No. 15)
Unique sites:
Rb  0.000  0.167  0.250 x4
Na  0.000  0.182  0.750 x4
Y  0.000  0.500  0.000 x4
F  0.000  0.439  0.250 x4
F  0.089  0.311  0.591 x8
F  0.206  0.051  0.919 x8

## Properties
E_form (uncorrected) = -3438 meV per atom

(3)
DFT (PBE-GGA) results for crystalline SrSiTc2 at its relaxed geometry.

a b c (Å): 4.3384 4.3384 17.1680
angles (deg): 90.00 90.00 120.00
Space group R-3m (No. 166, hexagonal axes)
Unique sites:
Sr  0.0000  0.0000  0.0000 x3
Si  0.0000  0.0000  0.5000 x3
Tc  0.0000  0.0000  0.1802 x6

## Properties
E_form (uncorrected) = -124 meV per atom

(4)
DFT (PBE-GGA) results for crystalline Ac2PmCo at its relaxed geometry.

a b c (Å): 4.222 5.521 12.114
angles (deg): 90.00 90.00 90.00
Space group Immm (No. 71)
Unique sites:
Ac  0.000  0.000  0.159 x4
Pm  0.000  0.000  0.500 x2
Co  0.000  0.500  0.500 x2

## Properties
energy of formation = -0.022 eV per atom

(5)
DFT (PBE-GGA) results for crystalline Pm3NdCd3 at its relaxed geometry.

a b c (Å): 9.417 9.417 9.417
angles (deg): 90.00 90.00 90.00
Space group P2_13 (No. 198)
Unique sites:
Pm  0.128  0.372  0.628 x4
Pm  0.155  0.845  0.345 x4
Pm  0.213  0.213  0.213 x4
Nd  0.048  0.548  0.952 x4
Cd  0.017  0.181  0.903 x12

## Properties
energy of formation = -0.143 eV per atom

(6)
DFT (PBE-GGA) results for crystalline AcSi4Rh6 at its relaxed geometry.

a b c (Å): 7.1033 7.1033 3.8651
angles (deg): 90.00 90.00 120.00
Space group P-6m2 (No. 187)
Unique sites:
Ac  0.0000  0.0000  0.0000 x1
Si  0.3333  0.6667  0.0000 x1
Si  0.4110  0.2055  0.5000 x3
Rh  0.2013  0.4026  0.5000 x3
Rh  0.5326  0.0651  0.0000 x3

## Properties
E_form (uncorrected) = -937 meV per atom

(7)
DFT (PBE-GGA) results for crystalline Sc2Ni5Ge4 at its relaxed geometry.

a b c (Å): 5.156 9.021 14.341
angles (deg): 90.00 90.00 90.00
Space group Fmmm (No. 69)
Unique sites:
Sc  0.000  0.000  0.135 x8
Ni  0.000  0.000  0.500 x4
Ni  0.250  0.250  0.000 x8
Ni  0.250  0.250  0.250 x8
Ge  0.000  0.153  0.369 x16

## Properties
energy of formation = -0.458 eV per atom

(8)
DFT (PBE-GGA) results for crystalline Cu3MoW at its relaxed geometry.

a b c (Å): 4.540 4.540 4.540
angles (deg): 90.00 90.00 90.00
Space group Pm-3m (No. 221)
Unique sites:
Cu  0.000  0.000  0.500 x3
Mo  0.500  0.500  0.500 x1
W  0.000  0.000  0.000 x1

## Properties
energy of formation = 2.060 eV per atom

(9)
DFT (PBE-GGA) results for crystalline TbY5In3 at its relaxed geometry.

a b c (Å): 9.3696 9.3696 6.7489
angles (deg): 90.00 90.00 120.00
Space group P6_3/mcm (No. 193)
Unique sites:
Tb  0.0000  0.0000  0.0000 x2
Y  0.0000  0.3309  0.2500 x6
Y  0.3333  0.6667  0.0000 x4
In  0.0000  0.3362  0.7500 x6

## Properties
energy of formation = -0.387 eV per atom

(10)
DFT (PBE-GGA) results for crystalline RbNaAl2Ni at its relaxed geometry.

a b c (Å): 5.328 5.328 5.705
angles (deg): 90.00 90.00 90.00
Space group P4/mmm (No. 123)
Unique sites:
Rb  0.000  0.000  0.000 x1
Na  0.000  0.000  0.500 x1
Al  0.000  0.500  0.500 x2
Ni  0.500  0.500  0.000 x1

## Properties
energy of formation = 1.308 eV per atom

(11)
DFT (PBE-GGA) results for crystalline NdMg11Zn at its relaxed geometry.

a b c (Å): 5.889 14.325 7.670
angles (deg): 90.00 111.58 90.00
Space group C2/m (No. 12)
Unique sites:
Nd  0.000  0.000  0.000 x2
Mg  0.000  0.000  0.500 x2
Mg  0.101  0.395  0.218 x8
Mg  0.180  0.172  0.355 x8
Mg  0.250  0.250  0.000 x4
Zn  0.000  0.500  0.500 x2

## Properties
energy of formation = -0.069 eV per atom

(12)
DFT (PBE-GGA) results for crystalline InReHg at its relaxed geometry.

a b c (Å): 2.850 4.291 9.448
angles (deg): 90.00 90.00 90.00
Space group Imm2 (No. 44)
Unique sites:
In  0.000  0.000  0.000 x2
Re  0.000  0.000  0.645 x2
Hg  0.000  0.000  0.313 x2

## Properties
energy of formation = 0.829 eV per atom